No. 1
A plane-wave DFT calculation with PBE was carried out for an optimized crystal structure of AcLaBN3.

Cell lengths 5.8360, 5.8360, 6.4440 Å; angles 90.00, 90.00, 120.00 degrees
Space group P6_3/mmc (No. 194)
Inequivalent atoms, fractional coordinates:
Ac 0.3333 0.6667 0.2500 x2
La 0.0000 0.0000 0.0000 x2
B 0.3333 0.6667 0.7500 x2
N 0.1877 0.3754 0.7500 x6

* E_form (uncorrected): -1.13 eV/atom
* total energy: -7.91 eV/atom



No. 2
A plane-wave DFT calculation with PBE was carried out for an optimized crystal structure of SrAgIN2.

Cell lengths 4.480, 4.480, 5.728 Å; angles 90.00, 90.00, 90.00 degrees
Space group P4/mmm (No. 123)
Inequivalent atoms, fractional coordinates:
Sr 0.000 0.000 0.000 x1
Ag 0.500 0.500 0.500 x1
I 0.500 0.500 0.000 x1
N 0.000 0.500 0.500 x2

* relative energy among the computed polymorphs: 0.0 meV per atom
* E_form (uncorrected): 1.00 eV/atom
* total energy: -3.54 eV/atom



No. 3
A plane-wave DFT calculation with PBE was carried out for an optimized crystal structure of Sr2LiSn4Pd3.

Cell lengths 4.627, 4.627, 11.152 Å; angles 90.00, 90.00, 90.00 degrees
Space group P-4m2 (No. 115)
Inequivalent atoms, fractional coordinates:
Sr 0.000 0.500 0.247 x2
Li 0.500 0.500 0.000 x1
Sn 0.000 0.000 0.500 x1
Sn 0.000 0.500 0.874 x2
Sn 0.500 0.500 0.500 x1
Pd 0.000 0.000 0.000 x1
Pd 0.000 0.500 0.632 x2

* total energy: -4.34 eV/atom
* energy of formation: -652 meV per atom



No. 4
A plane-wave DFT calculation with PBE was carried out for an optimized crystal structure of CuPbICl2.

Cell lengths 6.406, 6.406, 4.589 Å; angles 90.00, 90.00, 90.00 degrees
Space group P4/mmm (No. 123)
Inequivalent atoms, fractional coordinates:
Cu 0.000 0.000 0.000 x1
Pb 0.500 0.500 0.000 x1
I 0.000 0.000 0.500 x1
Cl 0.000 0.500 0.500 x2

* E_form (uncorrected): 0.28 eV/atom
* total energy: -2.33 eV/atom



No. 5
A plane-wave DFT calculation with PBE was carried out for an optimized crystal structure of Pm3TlOs.

Cell lengths 12.594, 4.441, 10.584 Å; angles 90.00, 99.17, 90.00 degrees
Space group C2/m (No. 12)
Inequivalent atoms, fractional coordinates:
Pm 0.099 0.000 0.388 x4
Pm 0.134 0.500 0.669 x4
Pm 0.159 0.500 0.119 x4
Tl 0.075 0.000 0.894 x4
Os 0.235 0.500 0.391 x4

* relative energy among the computed polymorphs: 45.1 meV per atom
* total energy: -5.75 eV/atom
* energy of formation: -180 meV per atom



No. 6
A plane-wave DFT calculation with PBE was carried out for an optimized crystal structure of Ac2PmAs3Rh4.

Cell lengths 4.277, 4.277, 11.566 Å; angles 90.00, 90.00, 90.00 degrees
Space group P-4m2 (No. 115)
Inequivalent atoms, fractional coordinates:
Ac 0.000 0.500 0.229 x2
Pm 0.000 0.000 0.500 x1
As 0.000 0.500 0.878 x2
As 0.500 0.500 0.500 x1
Rh 0.000 0.000 0.000 x1
Rh 0.000 0.500 0.662 x2
Rh 0.500 0.500 0.000 x1

* total energy: -6.55 eV/atom
* energy of formation: -919 meV per atom



No. 7
A plane-wave DFT calculation with PBE was carried out for an optimized crystal structure of Tb2Sm3Ag3.

Cell lengths 3.717, 5.356, 21.853 Å; angles 90.00, 90.00, 90.00 degrees
Space group Immm (No. 71)
Inequivalent atoms, fractional coordinates:
Tb 0.000 0.000 0.232 x4
Sm 0.000 0.000 0.000 x2
Sm 0.000 0.500 0.121 x4
Ag 0.000 0.000 0.500 x2
Ag 0.000 0.500 0.381 x4

* total energy: -4.20 eV/atom
* energy of formation: -199 meV per atom



No. 8
A plane-wave DFT calculation with PBE was carried out for an optimized crystal structure of Rb2SnS.

Cell lengths 8.432, 8.432, 8.432 Å; angles 90.00, 90.00, 90.00 degrees
Space group Fm-3m (No. 225)
Inequivalent atoms, fractional coordinates:
Rb 0.250 0.250 0.250 x8
Sn 0.000 0.000 0.000 x4
S 0.000 0.000 0.500 x4

* relative energy among the computed polymorphs: 248.1 meV per atom
* E_form (uncorrected): -0.06 eV/atom
* total energy: -2.58 eV/atom



No. 9
A plane-wave DFT calculation with PBE was carried out for an optimized crystal structure of Pm2NpS3.

Cell lengths 6.918, 11.982, 6.909 Å; angles 90.00, 109.47, 90.00 degrees
Space group C2/m (No. 12)
Inequivalent atoms, fractional coordinates:
Pm 0.000 0.000 0.000 x2
Pm 0.000 0.164 0.500 x4
Pm 0.000 0.500 0.500 x2
Np 0.000 0.333 0.000 x4
S 0.240 0.500 0.241 x4
S 0.249 0.330 0.757 x8

* E_form (uncorrected): -1.81 eV/atom
* total energy: -7.62 eV/atom



No. 10
A plane-wave DFT calculation with PBE was carried out for an optimized crystal structure of MnCd3Se4.

Cell lengths 8.645, 7.488, 7.063 Å; angles 90.00, 90.00, 90.00 degrees
Space group Pmn2_1 (No. 31)
Inequivalent atoms, fractional coordinates:
Mn 0.000 0.169 0.000 x2
Cd 0.000 0.837 0.499 x2
Cd 0.249 0.669 0.998 x4
Se 0.000 0.169 0.641 x2
Se 0.000 0.849 0.118 x2
Se 0.241 0.328 0.118 x4

* E_form (uncorrected): -0.58 eV/atom
* total energy: -3.81 eV/atom



No. 11
A plane-wave DFT calculation with PBE was carried out for an optimized crystal structure of NaCr3As.

Cell lengths 4.950, 4.950, 4.950 Å; angles 90.00, 90.00, 90.00 degrees
Space group Pm-3m (No. 221)
Inequivalent atoms, fractional coordinates:
Na 0.000 0.000 0.000 x1
Cr 0.000 0.500 0.500 x3
As 0.500 0.500 0.500 x1

* relative energy among the computed polymorphs: 0.0 meV per atom
* total energy: -6.18 eV/atom
* energy of formation: 783 meV per atom



No. 12
A plane-wave DFT calculation with PBE was carried out for an optimized crystal structure of Tb15Sm4Th.

Cell lengths 5.065, 5.065, 25.212 Å; angles 90.00, 90.00, 90.00 degrees
Space group P4/mmm (No. 123)
Inequivalent atoms, fractional coordinates:
Tb 0.000 0.000 0.000 x1
Tb 0.000 0.000 0.200 x2
Tb 0.000 0.000 0.400 x2
Tb 0.000 0.500 0.098 x4
Tb 0.000 0.500 0.299 x4
Tb 0.000 0.500 0.500 x2
Sm 0.500 0.500 0.199 x2
Sm 0.500 0.500 0.400 x2
Th 0.500 0.500 0.000 x1

* total energy: -4.77 eV/atom
* energy of formation: 20 meV per atom



No. 13
A plane-wave DFT calculation with PBE was carried out for an optimized crystal structure of Ba7Ag4Au.

Cell lengths 15.929, 4.727, 14.537 Å; angles 90.00, 104.84, 90.00 degrees
Space group Cm (No. 8)
Inequivalent atoms, fractional coordinates:
Ba 0.000 0.000 0.000 x2
Ba 0.021 0.500 0.281 x2
Ba 0.102 0.500 0.592 x2
Ba 0.220 0.000 0.857 x2
Ba 0.254 0.500 0.143 x2
Ba 0.291 0.000 0.420 x2
Ba 0.411 0.500 0.687 x2
Ag 0.055 0.500 0.830 x2
Ag 0.256 0.000 0.639 x2
Ag 0.374 0.000 0.066 x2
Ag 0.458 0.500 0.448 x2
Au 0.139 0.000 0.214 x2

* total energy: -2.61 eV/atom
* energy of formation: -265 meV per atom



No. 14
A plane-wave DFT calculation with PBE was carried out for an optimized crystal structure of PmAlZn.

Cell lengths 4.5554, 4.5554, 3.6956 Å; angles 90.00, 90.00, 120.00 degrees
Space group P-6m2 (No. 187)
Inequivalent atoms, fractional coordinates:
Pm 0.0000 0.0000 0.0000 x1
Al 0.3333 0.6667 0.5000 x1
Zn 0.6667 0.3333 0.5000 x1

* relative energy among the computed polymorphs: 3.4 meV per atom
* total energy: -3.70 eV/atom
* energy of formation: -440 meV per atom



No. 15
A plane-wave DFT calculation with PBE was carried out for an optimized crystal structure of Gd2CoB3.

Cell lengths 3.3972, 3.3972, 8.2025 Å; angles 90.00, 90.00, 120.00 degrees
Space group P-6m2 (No. 187)
Inequivalent atoms, fractional coordinates:
Gd 0.0000 0.0000 0.2359 x2
Co 0.3333 0.6667 0.5000 x1
B 0.3333 0.6667 0.0000 x1
B 0.6667 0.3333 0.0000 x1
B 0.6667 0.3333 0.5000 x1

* total energy: -9.58 eV/atom
* energy of formation: -361 meV per atom



No. 16
A plane-wave DFT calculation with PBE was carried out for an optimized crystal structure of SbOsRu2.

Cell lengths 5.649, 5.649, 11.665 Å; angles 90.00, 90.00, 90.00 degrees
Space group I-42d (No. 122)
Inequivalent atoms, fractional coordinates:
Sb 0.000 0.000 0.000 x4
Os 0.000 0.000 0.500 x4
Ru 0.216 0.250 0.625 x8

* E_form (uncorrected): 0.86 eV/atom
* total energy: -7.62 eV/atom



No. 17
A plane-wave DFT calculation with PBE was carried out for an optimized crystal structure of Sm2RhF.

Cell lengths 4.1799, 4.1799, 22.4641 Å; angles 90.00, 90.00, 120.00 degrees
Space group R-3m (No. 166, hexagonal axes)
Inequivalent atoms, fractional coordinates:
Sm 0.0000 0.0000 0.1011 x6
Rh 0.0000 0.0000 0.5000 x3
F 0.0000 0.0000 0.0000 x3

* relative energy among the computed polymorphs: 0.0 meV per atom
* E_form (uncorrected): -1.69 eV/atom
* total energy: -6.36 eV/atom



No. 18
A plane-wave DFT calculation with PBE was carried out for an optimized crystal structure of K2ScCuSe4.

Cell lengths 8.040, 8.040, 6.925 Å; angles 90.00, 90.00, 90.00 degrees
Space group I-42m (No. 121)
Inequivalent atoms, fractional coordinates:
K 0.000 0.500 0.000 x4
Sc 0.000 0.000 0.000 x2
Cu 0.000 0.000 0.500 x2
Se 0.160 0.160 0.267 x8

* E_form (uncorrected): -0.88 eV/atom
* total energy: -4.20 eV/atom



No. 19
A plane-wave DFT calculation with PBE was carried out for an optimized crystal structure of ErThZnCr.

Cell lengths 7.185, 7.185, 7.185 Å; angles 90.00, 90.00, 90.00 degrees
Space group F-43m (No. 216)
Inequivalent atoms, fractional coordinates:
Er 0.000 0.000 0.000 x4
Th 0.000 0.000 0.500 x4
Zn 0.250 0.250 0.750 x4
Cr 0.250 0.250 0.250 x4

* total energy: -5.64 eV/atom
* energy of formation: 82 meV per atom



No. 20
A plane-wave DFT calculation with PBE was carried out for an optimized crystal structure of CeHf2ScN4.

Cell lengths 6.553, 6.641, 9.337 Å; angles 90.00, 90.00, 90.00 degrees
Space group Imma (No. 74)
Inequivalent atoms, fractional coordinates:
Ce 0.250 0.250 0.250 x4
Hf 0.000 0.000 0.000 x4
Hf 0.250 0.250 0.750 x4
Sc 0.000 0.000 0.500 x4
N 0.000 0.021 0.753 x8
N 0.244 0.250 0.991 x8

* E_form (uncorrected): -1.75 eV/atom
* total energy: -9.93 eV/atom



No. 21
A plane-wave DFT calculation with PBE was carried out for an optimized crystal structure of RbCdHg4.

Cell lengths 17.111, 8.087, 5.670 Å; angles 90.00, 102.47, 90.00 degrees
Space group C2/m (No. 12)
Inequivalent atoms, fractional coordinates:
Rb 0.214 0.000 0.144 x4
Cd 0.048 0.500 0.764 x4
Hg 0.000 0.181 0.000 x4
Hg 0.106 0.186 0.568 x8
Hg 0.150 0.500 0.276 x4

* relative energy among the computed polymorphs: 0.0 meV per atom
* total energy: -0.65 eV/atom
* energy of formation: -132 meV per atom



No. 22
A plane-wave DFT calculation with PBE was carried out for an optimized crystal structure of BaSr4Pd.

Cell lengths 7.499, 8.435, 10.371 Å; angles 105.48, 111.16, 90.02 degrees
Space group P-1 (No. 2)
Inequivalent atoms, fractional coordinates:
Ba 0.082 0.250 0.000 x2
Sr 0.123 0.157 0.406 x2
Sr 0.282 0.657 0.406 x2
Sr 0.313 0.551 0.795 x2
Sr 0.482 0.051 0.795 x2
Pd 0.000 0.500 0.500 x1
Pd 0.500 0.000 0.500 x1

* relative energy among the computed polymorphs: 0.0 meV per atom
* total energy: -2.55 eV/atom
* energy of formation: -241 meV per atom



No. 23
A plane-wave DFT calculation with PBE was carried out for an optimized crystal structure of ZrTiH.

Cell lengths 5.572, 5.572, 5.572 Å; angles 90.00, 90.00, 90.00 degrees
Space group F-43m (No. 216)
Inequivalent atoms, fractional coordinates:
Zr 0.000 0.000 0.000 x4
Ti 0.000 0.000 0.500 x4
H 0.250 0.250 0.250 x4

* relative energy among the computed polymorphs: 573.2 meV per atom
* total energy: -6.21 eV/atom



No. 24
A plane-wave DFT calculation with PBE was carried out for an optimized crystal structure of YSbP2Rh.

Cell lengths 4.529, 4.529, 5.632 Å; angles 90.00, 90.00, 90.00 degrees
Space group P4/mmm (No. 123)
Inequivalent atoms, fractional coordinates:
Y 0.000 0.000 0.000 x1
Sb 0.500 0.500 0.000 x1
P 0.000 0.500 0.500 x2
Rh 0.500 0.500 0.500 x1

* E_form (uncorrected): -0.10 eV/atom
* total energy: -5.85 eV/atom



Values for V, Å³ per atom, ordered as above
15.8 23.0 23.9 37.7 29.2 21.2 27.2 37.5 22.5 28.6 24.3 32.3 44.1 22.1 13.7 23.3 28.3 28.0 23.2 12.7 31.9 48.8 14.4 23.1
Values for size of the total moment, μB/atom, ordered as above
0.000 0.548 0.000 0.005 0.000 0.000 0.000 0.500 0.719 0.625 2.664 0.000 0.000 0.000 2.391 0.000 0.000 0.196 0.684 0.000 0.000 0.000 0.000 0.000